Ta3Nb2W, relaxed, DFT PBE; ΔE to the lowest computed polymorph = 3 meV per atom
1.0
6.581 0.000 0.000
0.000 3.275 0.000
-0.100 0.000 9.915
Ta Nb W
6 4 2
direct
0.121 0.250 0.413
0.369 0.750 0.915
0.375 0.750 0.248
0.625 0.250 0.752
0.631 0.250 0.085
0.879 0.750 0.587
0.119 0.250 0.087
0.372 0.750 0.586
0.628 0.250 0.414
0.881 0.750 0.913
0.126 0.250 0.749
0.874 0.750 0.251

---

Ta8Nb6W, relaxed, DFT PBE; total energy = -10.883 eV/atom
1.0
7.630 0.000 0.000
-3.815 6.607 0.000
0.000 0.000 5.643
Ta Nb W
8 6 1
direct
0.021 0.269 0.336
0.249 0.979 0.336
0.269 0.249 0.664
0.333 0.667 0.362
0.667 0.333 0.638
0.731 0.751 0.336
0.751 0.021 0.664
0.979 0.731 0.664
0.096 0.434 0.866
0.339 0.904 0.866
0.434 0.339 0.134
0.566 0.661 0.866
0.661 0.096 0.134
0.904 0.566 0.134
0.000 0.000 0.000

---

Ta4Nb3W, relaxed, DFT PBE; ΔE to the lowest computed polymorph = 0 meV per atom
1.0
3.285 0.000 0.000
0.000 3.285 0.000
0.000 0.000 13.283
Ta Nb W
4 3 1
direct
0.000 0.000 0.120
0.000 0.000 0.373
0.000 0.000 0.627
0.000 0.000 0.880
0.500 0.500 0.248
0.500 0.500 0.500
0.500 0.500 0.752
0.500 0.500 0.000

---

TaNbW, relaxed, DFT PBE; ΔE to the lowest computed polymorph = 0 meV per atom
1.0
3.256 0.000 0.000
0.000 3.256 0.000
0.000 0.000 9.869
Ta Nb W
2 2 2
direct
0.000 0.000 0.000
0.500 0.500 0.500
0.000 0.000 0.323
0.500 0.500 0.823
0.000 0.000 0.662
0.500 0.500 0.162